Density functional theory data (PBE with a Hubbard U) for a geometry-optimized Rb2MnIrF6 structure.

The structure belongs to space group I4/mmm (No. 139); the cell edges are 5.981, 5.981 and 9.359 Å and the angles 90.00°, 90.00° and 90.00°. The inequivalent atoms are Rb at (0.000, 0.500, 0.250), Mn at (0.000, 0.000, 0.000), Ir at (0.000, 0.000, 0.500), F at (0.000, 0.000, 0.219) and F at (0.245, 0.245, 0.500).

As for the total magnetization: 4.0 μB/f.u. For the total DFT energy (no corrections), the calculation gives -5.06 eV/atom.